{
  "formula": "TeI2Cl",
  "functional": "PBE",
  "state": "relaxed",
  "lattice": [[8.691, 0.000, 0.000], [0.000, 6.661, 0.000], [-8.684, 0.000, 11.863]],
  "species": ["Te", "Te", "Te", "Te", "I", "I", "I", "I", "I", "I", "I", "I", "Cl", "Cl", "Cl", "Cl"],
  "fractional_positions": [[0.166, 0.000, 0.416], [0.166, 0.500, 0.916], [0.834, 0.000, 0.584], [0.834, 0.500, 0.084], [0.192, 0.250, 0.077], [0.192, 0.250, 0.577], [0.461, 0.750, 0.077], [0.461, 0.750, 0.577], [0.539, 0.250, 0.423], [0.539, 0.250, 0.923], [0.808, 0.750, 0.423], [0.808, 0.750, 0.923], [0.122, 0.750, 0.250], [0.122, 0.750, 0.750], [0.878, 0.250, 0.250], [0.878, 0.250, 0.750]],
  "e_form_raw_mev_per_atom": -192,
  "relative_energy_ev_per_atom": 0.000,
  "mass_density_g_cm3": 4.03
}


{
  "formula": "TeI2Cl",
  "functional": "PBE",
  "state": "relaxed",
  "lattice": [[-3.192, 3.192, 8.946], [3.192, -3.192, 8.946], [3.192, 3.192, -8.946]],
  "species": ["Te", "Te", "I", "I", "I", "I", "Cl", "Cl"],
  "fractional_positions": [[0.000, 0.000, 0.000], [0.750, 0.250, 0.500], [0.055, 0.625, 0.930], [0.375, 0.305, 0.430], [0.695, 0.125, 0.070], [0.875, 0.945, 0.570], [0.250, 0.750, 0.500], [0.500, 0.500, 0.000]],
  "e_form_raw_mev_per_atom": 240,
  "relative_energy_ev_per_atom": 0.431,
  "mass_density_g_cm3": 3.80
}


Repeat the second record exactly.
{
  "formula": "TeI2Cl",
  "functional": "PBE",
  "state": "relaxed",
  "lattice": [[-3.192, 3.192, 8.946], [3.192, -3.192, 8.946], [3.192, 3.192, -8.946]],
  "species": ["Te", "Te", "I", "I", "I", "I", "Cl", "Cl"],
  "fractional_positions": [[0.000, 0.000, 0.000], [0.750, 0.250, 0.500], [0.055, 0.625, 0.930], [0.375, 0.305, 0.430], [0.695, 0.125, 0.070], [0.875, 0.945, 0.570], [0.250, 0.750, 0.500], [0.500, 0.500, 0.000]],
  "e_form_raw_mev_per_atom": 240,
  "relative_energy_ev_per_atom": 0.431,
  "mass_density_g_cm3": 3.80
}